## a
The following is a DFT calculation (PBE) of a relaxed KYIn2 crystal.

Results
magnetic moment: 0.0 μB/f.u.
space group: Pmm2, No. 25

Cell: 3.4984 5.2900 6.9861 Å, 90.00 90.00 90.00°
Last column: nearest neighbours and their distance in Å.
Fractional positions:
Y1 0.5000 0.5000 0.8208  5 In 3.08-3.31
In1 0.0000 0.0000 0.9547  4 Y 3.31, 2 K 3.44-3.55, 2 In 3.50
In2 0.5000 0.5000 0.2621  1 Y 3.08
K1 0.0000 0.0000 0.4625  6 In 3.44-3.55, 2 K 3.50

=====

## b
The following is a DFT calculation (PBE) of a relaxed KYIn2 crystal.

Results
magnetic moment: 0.0 μB/f.u.
space group: Cm, No. 8

Cell: 6.5390 6.5390 6.0610 Å, 73.97 73.97 29.34°
Last column: nearest neighbours and their distance in Å.
Fractional positions:
In1 0.0187 0.0187 0.0388  4 In 3.19-3.31, 2 Y 3.33, 4 K 3.46-3.52
In2 0.7220 0.7220 0.7251  4 In 3.19-3.31, 2 Y 3.47, 3 K 3.51-3.53
K1 0.4789 0.4789 0.5567  2 K 3.31, 7 In 3.46-3.53
Y1 0.2804 0.2804 0.1794  2 Y 3.31, 7 In 3.33-3.65

=====

The relative energies come out as a 0.088; b 0.000, with values in eV/atom.

=====

## a
The following is a DFT calculation (PBE) of a relaxed KY2In2 crystal.

Results
magnetic moment: 0.0 μB/f.u.
space group: P4/mbm, No. 127

Cell: 9.5452 9.5452 3.4006 Å, 90.00 90.00 90.00°
Last column: nearest neighbours and their distance in Å.
Fractional positions:
In1 0.1722 0.6722 0.5000  6 Y 3.22-3.34, 2 In 3.40
In2 0.8278 0.3278 0.5000  6 Y 3.22-3.34, 2 In 3.40
In3 0.6722 0.8278 0.5000  6 Y 3.22-3.34, 2 In 3.40
In4 0.3278 0.1722 0.5000  6 Y 3.22-3.34, 2 In 3.40
Y1 0.6255 0.1255 0.0000  6 In 3.22-3.34, 3 Y 3.39-3.40
Y2 0.8745 0.6255 0.0000  6 In 3.22-3.34, 3 Y 3.39-3.40
Y3 0.1255 0.3745 0.0000  6 In 3.22-3.34, 3 Y 3.39-3.40
Y4 0.3745 0.8745 0.0000  6 In 3.22-3.34, 3 Y 3.39-3.40
K1 0.5000 0.5000 0.0000  2 K 3.40, 4 Y 3.77
K2 0.0000 0.0000 0.0000  2 K 3.40, 4 Y 3.77

=====

## b
The following is a DFT calculation (PBE) of a relaxed KY2In2 crystal.

Results
magnetic moment: 0.0 μB/f.u.
space group: P4/mbm, No. 127

Cell: 9.1929 9.1929 3.6780 Å, 90.00 90.00 90.00°
Last column: nearest neighbours and their distance in Å.
Fractional positions:
K1 0.5000 0.5000 0.0000  4 In 3.64, 2 K 3.68, 8 Y 3.88
K2 0.0000 0.0000 0.0000  4 In 3.64, 2 K 3.68, 8 Y 3.88
In1 0.6235 0.1235 0.0000  1 In 3.21, 6 Y 3.26-3.29
In2 0.8765 0.6235 0.0000  1 In 3.21, 6 Y 3.26-3.29
In3 0.1235 0.3765 0.0000  1 In 3.21, 6 Y 3.26-3.29
In4 0.3765 0.8765 0.0000  1 In 3.21, 6 Y 3.26-3.29
Y1 0.6693 0.8307 0.5000  6 In 3.26-3.29
Y2 0.1693 0.6693 0.5000  6 In 3.26-3.29
Y3 0.3307 0.1693 0.5000  6 In 3.26-3.29
Y4 0.8307 0.3307 0.5000  6 In 3.26-3.29

=====

The relative energies come out as a 0.000; b 0.064, with values in eV/atom.

=====

## a
The following is a DFT calculation (PBE) of a relaxed KY3In crystal.

Results
magnetic moment: 0.0 μB/f.u.
space group: Pm-3m, No. 221

Cell: 5.4286 5.4286 5.4286 Å, 90.00 90.00 90.00°
Last column: nearest neighbours and their distance in Å.
Fractional positions:
Y1 0.5000 0.0000 0.0000  2 K 2.71
Y2 0.0000 0.5000 0.0000  2 K 2.71
Y3 0.0000 0.0000 0.5000  2 K 2.71
In1 0.5000 0.5000 0.5000  12 Y 3.84
K1 0.0000 0.0000 0.0000  6 Y 2.71

=====

## b
The following is a DFT calculation (PBE) of a relaxed KY3In crystal.

Results
magnetic moment: 1.3 μB/f.u.
space group: Pm-3m, No. 221

Cell: 5.9162 5.9162 5.9162 Å, 90.00 90.00 90.00°
Last column: nearest neighbours and their distance in Å.
Fractional positions:
In1 0.0000 0.0000 0.0000  6 Y 2.96
K1 0.5000 0.5000 0.5000  12 Y 4.18
Y1 0.0000 0.0000 0.5000  2 In 2.96
Y2 0.0000 0.5000 0.0000  2 In 2.96
Y3 0.5000 0.0000 0.0000  2 In 2.96

=====

The relative energies come out as a 0.713; b 0.000, with values in eV/atom.

=====

## a
The following is a DFT calculation (PBE) of a relaxed KZnIn3 crystal.

Results
magnetic moment: 0.0 μB/f.u.
space group: Fmm2, No. 42

Cell: 4.7886 4.7888 7.0547 Å, 70.23 70.22 90.29°
Last column: nearest neighbours and their distance in Å.
Fractional positions:
Zn1 0.0184 0.8220 0.6686  5 In 2.73-2.85
In1 0.7978 0.6013 0.1096  1 Zn 2.73
In2 0.6435 0.9464 0.4188  2 Zn 2.85, 2 In 3.07
In3 0.1428 0.4471 0.4188  2 Zn 2.85, 2 In 3.07
K1 0.4052 0.2085 0.8953  12 In 3.63-4.03, 4 Zn 3.66-3.67

=====

## b
The following is a DFT calculation (PBE) of a relaxed KZnIn3 crystal.

Results
magnetic moment: 0.0 μB/f.u.
space group: P6_3/mmc, No. 194

Cell: 6.0544 7.3888 7.3889 Å, 120.01 90.00 90.00°
Last column: nearest neighbours and their distance in Å.
Fractional positions:
Zn1 0.0000 0.0000 0.0000  6 In 2.83, 2 Zn 3.03
Zn2 0.5000 0.0000 0.0000  6 In 2.83, 2 Zn 3.03
In1 0.7500 0.1866 0.8135  2 Zn 2.83
In2 0.2500 0.3732 0.1866  2 Zn 2.83
In3 0.2500 0.8134 0.6268  2 Zn 2.83
In4 0.7500 0.1866 0.3732  2 Zn 2.83
In5 0.7500 0.6268 0.8134  2 Zn 2.83
In6 0.2500 0.8134 0.1865  2 Zn 2.83
K1 0.2501 0.3333 0.6666  12 In 3.56-3.70
K2 0.7499 0.6667 0.3334  12 In 3.56-3.70

=====

The relative energies come out as a 0.000; b 0.089, with values in eV/atom.